Below is a relaxed Ca3V5N12 crystal, with properties calculated at the PBE level.

ΔE_f (raw): -431 meV per atom
SG: Ia-3d (230)
calculated volume: 1000.7 Å³ per cell

POSCAR file:
```
Ca3V5N12
1.0
-6.301 6.301 6.301
6.301 -6.301 6.301
6.301 6.301 -6.301
Ca V N
12 20 48
Cartesian
3.150 1.575 0.000
6.301 3.150 -1.575
1.575 0.000 3.150
7.876 0.000 3.150
0.000 3.150 1.575
3.150 -1.575 6.301
3.150 7.876 0.000
6.301 3.150 4.726
-1.575 6.301 3.150
4.726 6.301 3.150
0.000 3.150 7.876
3.150 4.726 6.301
0.000 0.000 0.000
3.150 3.150 -3.150
3.150 -3.150 3.150
6.301 0.000 0.000
9.451 1.575 0.000
6.301 -3.150 4.726
4.726 6.301 -3.150
4.726 0.000 3.150
3.150 4.726 0.000
6.301 3.150 1.575
-3.150 3.150 3.150
0.000 6.301 0.000
0.000 0.000 6.301
3.150 3.150 3.150
0.000 3.150 4.726
3.150 1.575 6.301
1.575 6.301 3.150
1.575 0.000 9.451
0.000 9.451 1.575
-3.150 4.726 6.301
1.839 -0.455 0.543
7.612 3.693 -3.605
8.140 0.455 0.543
7.612 -2.608 3.605
5.846 -0.543 1.839
9.906 -1.311 2.608
0.543 1.839 -0.455
8.909 2.696 -1.311
3.693 3.605 -1.311
5.758 1.839 0.455
-0.455 0.543 1.839
3.605 -1.311 3.693
5.846 5.758 -1.839
3.605 1.311 2.608
3.693 -3.605 7.612
5.758 -1.839 5.846
2.608 3.605 1.311
6.844 4.462 0.455
3.605 7.612 -2.608
5.846 0.543 4.462
1.839 5.846 -0.543
7.612 2.608 2.696
1.311 2.608 3.605
1.839 0.455 5.758
4.462 5.846 0.543
4.990 3.693 2.696
-1.311 3.693 3.605
4.462 0.455 6.844
0.455 5.758 1.839
2.696 -1.311 8.909
-0.543 1.839 5.846
3.693 2.696 4.990
0.543 8.140 0.455
2.608 9.906 -1.311
2.696 4.990 3.693
0.455 0.543 8.140
2.696 7.612 2.608
6.756 5.758 4.462
0.543 4.462 5.846
2.608 2.696 7.612
-2.608 3.605 7.612
5.758 4.462 6.756
-3.605 7.612 3.693
0.455 6.844 4.462
-1.311 8.909 2.696
-1.839 5.846 5.758
-1.311 2.608 9.906
4.462 6.756 5.758
```

=====

Below is a relaxed Mg3PN crystal, with properties calculated at the PBE level.

ΔE_f (raw): -392 meV per atom
SG: C2/m (12)
calculated volume: 178.5 Å³ per cell
ΔE to the lowest computed polymorph: 346.2 meV per atom

POSCAR file:
```
Mg3PN
1.0
7.007 -1.810 0.000
7.007 1.810 0.000
-1.399 0.000 7.038
Mg P N
6 2 2
Cartesian
0.539 0.000 1.551
1.789 0.000 3.911
3.064 0.000 6.408
9.551 0.000 0.630
10.826 0.000 3.127
12.076 0.000 5.487
0.462 0.000 6.142
12.153 0.000 0.897
3.949 0.000 4.494
8.666 0.000 2.544
```

=====

Below is a relaxed SrScAs2 crystal, with properties calculated at the PBE level.

SG: Fm-3m (225)
calculated volume: 93.5 Å³ per cell
ΔE to the lowest computed polymorph: 320.7 meV per atom
calculated formation energy: -0.7695 eV per atom

POSCAR file:
```
SrScAs2
1.0
0.000 3.602 3.602
3.602 0.000 3.602
3.602 3.602 0.000
Sr Sc As
1 1 2
Cartesian
0.000 0.000 0.000
3.602 3.602 3.602
1.801 1.801 1.801
5.404 5.404 5.404
```

=====

Below is a relaxed MgScRh2O crystal, with properties calculated at the PBE level.

ΔE_f (raw): -52 meV per atom
SG: P4/mmm (123)
calculated volume: 83.2 Å³ per cell

POSCAR file:
```
MgScRh2O
1.0
4.794 0.000 0.000
0.000 4.794 0.000
0.000 0.000 3.619
Mg Sc Rh O
1 1 2 1
Cartesian
0.000 0.000 0.000
2.397 2.397 1.810
0.000 2.397 0.000
2.397 0.000 0.000
0.000 0.000 1.810
```

=====

Below is a relaxed YNbGe2O8 crystal, with properties calculated at the PBE level.

ΔE_f (raw): -2267 meV per atom
SG: I-4m2 (119)
calculated volume: 148.3 Å³ per cell

POSCAR file:
```
YNbGe2O8
1.0
-3.435 3.435 3.142
3.435 -3.435 3.142
3.435 3.435 -3.142
Y Nb Ge O
1 1 2 8
Cartesian
0.000 0.000 0.000
0.000 3.435 1.571
3.435 0.000 1.571
0.000 0.000 3.142
2.230 0.000 0.283
4.640 0.000 0.283
3.435 2.080 -1.149
3.435 -1.205 2.859
0.000 1.354 1.993
3.435 1.205 2.859
2.080 3.435 1.149
1.354 0.000 4.291
```

=====

Below is a relaxed Ga2Cu2Ag crystal, with properties calculated at the PBE level.

SG: I4/mmm (139)
calculated volume: 79.8 Å³ per cell
ΔE to the lowest computed polymorph: 95.8 meV per atom
calculated formation energy: 0.0882 eV per atom

POSCAR file:
```
Ga2Cu2Ag
1.0
-1.778 1.778 6.312
1.778 -1.778 6.312
1.778 1.778 -6.312
Ga Cu Ag
2 2 1
Cartesian
0.000 0.000 1.311
0.000 0.000 11.313
1.778 0.000 3.156
0.000 1.778 3.156
0.000 0.000 6.312
```